# Tb3IrI3

Crystalline Tb3IrI3 at its relaxed geometry (PBE-GGA, the Alexandria database).

Geometry as CIF:
```
data_Tb3IrI3
_chemical_formula_sum 'Tb6 Ir2 I6'
_cell_length_a 8.9276
_cell_length_b 4.2697
_cell_length_c 12.4002
_cell_angle_alpha 90.00
_cell_angle_beta 93.38
_cell_angle_gamma 90.00
_symmetry_space_group_name_H-M 'P 1 21/m 1'
_symmetry_Int_Tables_number 11
loop_
_symmetry_equiv_pos_as_xyz
'x,y,z'
'-x,-y,-z'
'-x,y+1/2,-z'
'x,-y+1/2,z'
loop_
_atom_site_label
_atom_site_type_symbol
_atom_site_fract_x
_atom_site_fract_y
_atom_site_fract_z
Tb1 Tb 0.0957 0.2500 0.3159
Tb2 Tb 0.1413 0.2500 0.8707
Tb3 Tb 0.2517 0.7500 0.0990
Ir1 Ir 0.0496 0.2500 0.0929
I1 I 0.1429 0.2500 0.6059
I2 I 0.3492 0.7500 0.3592
I3 I 0.4288 0.7500 0.8674
```

Results
**Total magnetic moment**: 0.00 μB per atom
**Crystal system**: monoclinic
**E**: -5.06 eV per atom
**V**: 471.8 Å³/cell
**E_form (uncorrected)**: -1149 meV per atom

---

# BeRhBr

Crystalline BeRhBr at its relaxed geometry (PBE-GGA, the Alexandria database).

Geometry as CIF:
```
data_BeRhBr
_chemical_formula_sum 'Be2 Rh2 Br2'
_cell_length_a 3.6635
_cell_length_b 3.6635
_cell_length_c 9.6303
_cell_angle_alpha 90.00
_cell_angle_beta 90.00
_cell_angle_gamma 120.00
_symmetry_space_group_name_H-M 'P 63/m m c'
_symmetry_Int_Tables_number 194
_symmetry_space_group_name_Hall '-P 6c 2c'
loop_
_atom_site_label
_atom_site_type_symbol
_atom_site_fract_x
_atom_site_fract_y
_atom_site_fract_z
Be1 Be 0.3333 0.6667 0.2500
Rh1 Rh 0.0000 0.0000 0.0000
Br1 Br 0.0000 0.0000 0.2500
```

Results
**Total magnetic moment**: 0.00 μB per atom
**Offset from the most stable computed form**: 1504 meV/atom
**Crystal system**: hexagonal
**E**: -3.17 eV per atom
**V**: 111.9 Å³/cell
**E_form (uncorrected)**: 1076 meV per atom

---

# CeHo2Co9

Crystalline CeHo2Co9 at its relaxed geometry (PBE-GGA, the Alexandria database).

Geometry as CIF:
```
data_CeHo2Co9
_chemical_formula_sum 'Ce3 Ho6 Co27'
_cell_length_a 4.9538
_cell_length_b 4.9538
_cell_length_c 24.4310
_cell_angle_alpha 90.00
_cell_angle_beta 90.00
_cell_angle_gamma 120.00
_symmetry_space_group_name_H-M 'R -3 m'
_symmetry_Int_Tables_number 166
_symmetry_space_group_name_Hall '-R 3 2"'
loop_
_atom_site_label
_atom_site_type_symbol
_atom_site_fract_x
_atom_site_fract_y
_atom_site_fract_z
Ce1 Ce 0.0000 0.0000 0.0000
Ho1 Ho 0.0000 0.0000 0.1400
Co1 Co 0.0000 0.0000 0.3345
Co2 Co 0.0000 0.0000 0.5000
Co3 Co 0.0031 0.5016 0.9178
```

Results
**Formation energy**: -2.2 eV/f.u.
**Total magnetic moment**: 0.78 μB per atom
**Crystal system**: trigonal
**E**: -6.77 eV per atom
**V**: 519.2 Å³/cell

---

# ZnBiOs3

Crystalline ZnBiOs3 at its relaxed geometry (PBE-GGA, the Alexandria database).

Geometry as CIF:
```
data_ZnBiOs3
_chemical_formula_sum 'Zn1 Bi1 Os3'
_cell_length_a 4.9700
_cell_length_b 4.9700
_cell_length_c 4.9700
_cell_angle_alpha 90.00
_cell_angle_beta 90.00
_cell_angle_gamma 90.00
_symmetry_space_group_name_H-M 'P m -3 m'
_symmetry_Int_Tables_number 221
_symmetry_space_group_name_Hall '-P 4 2 3'
loop_
_atom_site_label
_atom_site_type_symbol
_atom_site_fract_x
_atom_site_fract_y
_atom_site_fract_z
Zn1 Zn 0.0000 0.0000 0.0000
Bi1 Bi 0.5000 0.5000 0.5000
Os1 Os 0.0000 0.5000 0.5000
```

Results
**Formation energy**: 14.8 eV/f.u.
**Total magnetic moment**: 0.60 μB per atom
**Offset from the most stable computed form**: 1063 meV/atom
**Crystal system**: cubic
**E**: -4.80 eV per atom
**V**: 122.8 Å³/cell

---

# YHfSc2H

Crystalline YHfSc2H at its relaxed geometry (PBE-GGA, the Alexandria database).

Geometry as CIF:
```
data_YHfSc2H
_chemical_formula_sum 'Y1 Hf1 Sc2 H1'
_cell_length_a 4.6586
_cell_length_b 4.6586
_cell_length_c 4.5990
_cell_angle_alpha 90.00
_cell_angle_beta 90.00
_cell_angle_gamma 90.00
_symmetry_space_group_name_H-M 'P 4/m m m'
_symmetry_Int_Tables_number 123
_symmetry_space_group_name_Hall '-P 4 2'
loop_
_atom_site_label
_atom_site_type_symbol
_atom_site_fract_x
_atom_site_fract_y
_atom_site_fract_z
Y1 Y 0.0000 0.0000 0.0000
Hf1 Hf 0.5000 0.5000 0.0000
Sc1 Sc 0.0000 0.5000 0.5000
H1 H 0.5000 0.5000 0.5000
```

Results
**Total magnetic moment**: 0.00 μB per atom
**Offset from the most stable computed form**: 3 meV/atom
**Crystal system**: tetragonal
**E**: -6.56 eV per atom
**V**: 99.8 Å³/cell

---

# Sm2Sn5Pt3

Crystalline Sm2Sn5Pt3 at its relaxed geometry (PBE-GGA, the Alexandria database).

Geometry as CIF:
```
data_Sm2Sn5Pt3
_chemical_formula_sum 'Sm8 Sn20 Pt12'
_cell_length_a 4.5715
_cell_length_b 26.5479
_cell_length_c 7.4613
_cell_angle_alpha 90.00
_cell_angle_beta 90.00
_cell_angle_gamma 90.00
_symmetry_space_group_name_H-M 'C m c 21'
_symmetry_Int_Tables_number 36
loop_
_symmetry_equiv_pos_as_xyz
'x,y,z'
'-x,-y,z+1/2'
'-x,y,z'
'x,-y,z+1/2'
'x+1/2,y+1/2,z'
'-x+1/2,-y+1/2,z+1/2'
'-x+1/2,y+1/2,z'
'x+1/2,-y+1/2,z+1/2'
loop_
_atom_site_label
_atom_site_type_symbol
_atom_site_fract_x
_atom_site_fract_y
_atom_site_fract_z
Sm1 Sm 0.0000 0.0236 0.0000
Sm2 Sm 0.0000 0.3278 0.9808
Sn1 Sn 0.0000 0.0977 0.6322
Sn2 Sn 0.0000 0.2039 0.1786
Sn3 Sn 0.0000 0.2109 0.7553
Sn4 Sn 0.0000 0.3802 0.5059
Sn5 Sn 0.0000 0.4520 0.8400
Pt1 Pt 0.0000 0.1049 0.2601
Pt2 Pt 0.0000 0.2768 0.4575
Pt3 Pt 0.0000 0.4492 0.2192
```

Results
**Formation energy**: -7.9 eV/f.u.
**Total magnetic moment**: 0.00 μB per atom
**Crystal system**: orthorhombic
**E**: -5.55 eV per atom
**V**: 905.5 Å³/cell

---

# AlReMo2

Crystalline AlReMo2 at its relaxed geometry (PBE-GGA, the Alexandria database).

Geometry as CIF:
```
data_AlReMo2
_chemical_formula_sum 'Al1 Re1 Mo2'
_cell_length_a 3.1742
_cell_length_b 4.3466
_cell_length_c 4.4044
_cell_angle_alpha 90.00
_cell_angle_beta 90.00
_cell_angle_gamma 90.00
_symmetry_space_group_name_H-M 'P m m m'
_symmetry_Int_Tables_number 47
loop_
_symmetry_equiv_pos_as_xyz
'x,y,z'
'-x,-y,-z'
'-x,-y,z'
'x,y,-z'
'x,-y,-z'
'-x,y,z'
'-x,y,-z'
'x,-y,z'
loop_
_atom_site_label
_atom_site_type_symbol
_atom_site_fract_x
_atom_site_fract_y
_atom_site_fract_z
Al1 Al 0.0000 0.0000 0.0000
Re1 Re 0.5000 0.5000 0.0000
Mo1 Mo 0.0000 0.5000 0.5000
Mo2 Mo 0.5000 0.0000 0.5000
```

Results
**Formation energy**: 0.0 eV/f.u.
**Total magnetic moment**: 0.00 μB per atom
**Crystal system**: orthorhombic
**E**: -9.48 eV per atom
**V**: 60.8 Å³/cell

---

# DySiBIr2

Crystalline DySiBIr2 at its relaxed geometry (PBE-GGA, the Alexandria database).

Geometry as CIF:
```
data_DySiBIr2
_chemical_formula_sum 'Dy4 Si4 B4 Ir8'
_cell_length_a 3.9263
_cell_length_b 11.2592
_cell_length_c 7.1641
_cell_angle_alpha 90.00
_cell_angle_beta 90.00
_cell_angle_gamma 90.00
_symmetry_space_group_name_H-M 'C m c m'
_symmetry_Int_Tables_number 63
_symmetry_space_group_name_Hall '-C 2c 2'
loop_
_atom_site_label
_atom_site_type_symbol
_atom_site_fract_x
_atom_site_fract_y
_atom_site_fract_z
Dy1 Dy 0.0000 0.0508 0.2500
Si1 Si 0.0000 0.2294 0.7500
B1 B 0.0000 0.5000 0.0000
Ir1 Ir 0.0000 0.3326 0.0551
```

Results
**Total magnetic moment**: 0.00 μB per atom
**Crystal system**: orthorhombic
**E**: -7.75 eV per atom
**V**: 316.7 Å³/cell
**E_form (uncorrected)**: -867 meV per atom

---

# Cd6Ag3Sn

Crystalline Cd6Ag3Sn at its relaxed geometry (PBE-GGA, the Alexandria database).

Geometry as CIF:
```
data_Cd6Ag3Sn
_chemical_formula_sum 'Cd12 Ag6 Sn2'
_cell_length_a 5.8183
_cell_length_b 8.7867
_cell_length_c 8.9733
_cell_angle_alpha 90.00
_cell_angle_beta 90.74
_cell_angle_gamma 90.00
_symmetry_space_group_name_H-M 'P 1 21/c 1'
_symmetry_Int_Tables_number 14
loop_
_symmetry_equiv_pos_as_xyz
'x,y,z'
'-x,-y,-z'
'-x,y+1/2,-z+1/2'
'x,-y+1/2,z+1/2'
loop_
_atom_site_label
_atom_site_type_symbol
_atom_site_fract_x
_atom_site_fract_y
_atom_site_fract_z
Cd1 Cd 0.0332 0.1644 0.0211
Cd2 Cd 0.2381 0.6651 0.7666
Cd3 Cd 0.4608 0.1276 0.4008
Ag1 Ag 0.0000 0.0000 0.5000
Ag2 Ag 0.2665 0.1271 0.7289
Sn1 Sn 0.5000 0.0000 0.0000
```

Results
**Formation energy**: 0.6 eV/f.u.
**Total magnetic moment**: 0.00 μB per atom
**Offset from the most stable computed form**: 38 meV/atom
**Crystal system**: monoclinic
**E**: -1.75 eV per atom
**V**: 458.7 Å³/cell

---

# AcDy2TmSe6

Crystalline AcDy2TmSe6 at its relaxed geometry (PBE-GGA, the Alexandria database).

Geometry as CIF:
```
data_AcDy2TmSe6
_chemical_formula_sum 'Ac3 Dy6 Tm3 Se18'
_cell_length_a 7.3570
_cell_length_b 7.3570
_cell_length_c 19.5199
_cell_angle_alpha 90.00
_cell_angle_beta 90.00
_cell_angle_gamma 120.00
_symmetry_space_group_name_H-M 'R 3'
_symmetry_Int_Tables_number 146
_symmetry_space_group_name_Hall 'R 3'
loop_
_atom_site_label
_atom_site_type_symbol
_atom_site_fract_x
_atom_site_fract_y
_atom_site_fract_z
Ac1 Ac 0.0000 0.0000 0.0000
Dy1 Dy 0.0000 0.0000 0.2052
Dy2 Dy 0.0000 0.0000 0.7134
Tm1 Tm 0.0000 0.0000 0.5146
Se1 Se 0.0000 0.3119 0.1139
Se2 Se 0.0676 0.7105 0.2795
```

Results
**Total magnetic moment**: 0.00 μB per atom
**Crystal system**: trigonal
**E**: -5.74 eV per atom
**V**: 915.0 Å³/cell
**E_form (uncorrected)**: -1871 meV per atom